A relaxed structure of LaTmCo. Source: Alexandria via LeMat-Bulk, functional PBE.

Cell lengths 6.382, 6.731, 9.898 Å; angles 90.00, 130.07, 90.00 degrees
Fractional positions:
La: 0.144 0.083 0.383
La: 0.144 0.417 0.883
La: 0.856 0.583 0.117
La: 0.856 0.917 0.617
Tm: 0.377 0.577 0.617
Tm: 0.377 0.923 0.117
Tm: 0.623 0.077 0.883
Tm: 0.623 0.423 0.383
Co: 0.353 0.746 0.356
Co: 0.353 0.754 0.856
Co: 0.647 0.246 0.144
Co: 0.647 0.254 0.644

Summary:
**Relative energy among the computed polymorphs**: 0.09 eV per formula unit
**Mass density**: 7.487 Mg/m³
**Total energy**: -5.6266 eV/atom
**E_form**: -0.125 eV/atom